Record 1
A plane-wave DFT calculation with GGA-PBE was carried out for AcPm8Dy6 after structural relaxation.

Unit cell a=8.339 b=8.339 c=8.339 alpha=72.09 beta=72.09 gamma=72.09
Element x y z (fractional)
Dy1 0.569 0.828 0.383
Dy2 0.383 0.569 0.828
Dy3 0.617 0.431 0.172
Dy4 0.828 0.383 0.569
Dy5 0.172 0.617 0.431
Dy6 0.431 0.172 0.617
Pm1 0.144 0.943 0.612
Pm2 0.943 0.612 0.144
Pm3 0.237 0.237 0.237
Pm4 0.388 0.856 0.057
Pm5 0.057 0.388 0.856
Pm6 0.612 0.144 0.943
Pm7 0.856 0.057 0.388
Pm8 0.763 0.763 0.763
Ac1 0.000 0.000 0.000

**Magnetization**: 0.00 Bohr magnetons per cell
**Distance to the lowest polymorph of the same formula**: 35 meV/atom
**Calculated total energy**: -66.777 eV/f.u.
**Symmetry**: R-3
**Energy of formation from the pure elements**: 196.6 meV/atom
**Crystal system**: trigonal

---

Record 2
A plane-wave DFT calculation with GGA-PBE was carried out for AcPmDy2 after structural relaxation.

Unit cell a=3.720 b=3.720 c=11.989 alpha=81.08 beta=81.08 gamma=60.00
Element x y z (fractional)
Dy1 0.248 0.248 0.256
Dy2 0.085 0.085 0.744
Pm1 0.500 0.500 0.499
Ac1 0.667 0.667 0.000

**Magnetization**: 0.00 Bohr magnetons per cell
**Distance to the lowest polymorph of the same formula**: 4 meV/atom
**Calculated total energy**: -17.868 eV/f.u.
**Symmetry**: R3m
**Energy of formation from the pure elements**: 48.9 meV/atom
**Crystal system**: trigonal

---

Record 3
A plane-wave DFT calculation with GGA-PBE was carried out for AcPm4Dy after structural relaxation.

Unit cell a=6.758 b=6.758 c=6.758 alpha=60.00 beta=60.00 gamma=60.00
Element x y z (fractional)
Pm1 0.626 0.626 0.121
Pm2 0.121 0.626 0.626
Pm3 0.626 0.121 0.626
Pm4 0.626 0.626 0.626
Dy1 0.000 0.000 0.000
Ac1 0.250 0.250 0.250

**Magnetization**: 0.00 Bohr magnetons per cell
**Distance to the lowest polymorph of the same formula**: 208 meV/atom
**Calculated total energy**: -26.285 eV/f.u.
**Symmetry**: F-43m
**Energy of formation from the pure elements**: 238.0 meV/atom
**Crystal system**: cubic

---

Record 4
A plane-wave DFT calculation with GGA-PBE was carried out for AcPm3Dy2 after structural relaxation.

Unit cell a=6.353 b=6.353 c=12.165 alpha=110.26 beta=110.26 gamma=70.91
Element x y z (fractional)
Ac1 0.876 0.124 0.750
Ac2 0.124 0.876 0.250
Pm1 0.209 0.460 0.419
Pm2 0.540 0.791 0.081
Pm3 0.624 0.376 0.250
Pm4 0.460 0.209 0.919
Pm5 0.376 0.624 0.750
Pm6 0.791 0.540 0.581
Dy1 0.959 0.709 0.918
Dy2 0.041 0.291 0.082
Dy3 0.291 0.041 0.582
Dy4 0.709 0.959 0.418

**Magnetization**: 0.00 Bohr magnetons per cell
**Distance to the lowest polymorph of the same formula**: 0 meV/atom
**Calculated total energy**: -27.333 eV/f.u.
**Symmetry**: C2/c
**Energy of formation from the pure elements**: 38.5 meV/atom
**Crystal system**: monoclinic

---

Record 5
A plane-wave DFT calculation with GGA-PBE was carried out for Ac2Pm3Dy2 after structural relaxation.

Unit cell a=5.248 b=6.464 c=9.859 alpha=109.36 beta=74.54 gamma=66.08
Element x y z (fractional)
Pm1 0.000 0.000 0.000
Pm2 0.845 0.585 0.726
Pm3 0.155 0.415 0.274
Dy1 0.417 0.301 0.866
Dy2 0.583 0.699 0.134
Ac1 0.280 0.862 0.577
Ac2 0.720 0.138 0.423

**Magnetization**: 0.00 Bohr magnetons per cell
**Calculated total energy**: -31.328 eV/f.u.
**Symmetry**: C2/m
**Energy of formation from the pure elements**: 49.3 meV/atom
**Crystal system**: monoclinic

---

Record 6
A plane-wave DFT calculation with GGA-PBE was carried out for Ac3Pm12Dy after structural relaxation.

Unit cell a=5.241 b=5.241 c=20.937 alpha=90.00 beta=90.00 gamma=90.00
Element x y z (fractional)
Pm1 0.000 0.500 0.626
Pm2 0.500 0.000 0.880
Pm3 0.000 0.500 0.374
Pm4 0.500 0.000 0.374
Pm5 0.500 0.000 0.120
Pm6 0.000 0.500 0.880
Pm7 0.000 0.500 0.120
Pm8 0.500 0.500 0.754
Pm9 0.500 0.000 0.626
Pm10 0.500 0.500 0.000
Pm11 0.500 0.500 0.246
Pm12 0.500 0.500 0.500
Ac1 0.000 0.000 0.753
Ac2 0.000 0.000 0.500
Ac3 0.000 0.000 0.247
Dy1 0.000 0.000 0.000

**Magnetization**: 0.00 Bohr magnetons per cell
**Calculated total energy**: -73.476 eV/f.u.
**Symmetry**: P4/mmm
**Energy of formation from the pure elements**: 28.7 meV/atom
**Crystal system**: tetragonal